No. 1
Material: TiReS3
Method: DFT, PBE-GGA
State: relaxed

Output
Total energy: -6.13 eV/atom
E above lowest polymorph: 0 meV per atom

Cell: 4.6107 4.6107 4.6107 Å, 90.00 90.00 90.00°
Last column: nearest neighbours and their distance in Å.
Element x y z (fractional)
Re: 0.0000 0.0000 0.0000  6 S 2.31
S: 0.5000 0.0000 0.0000  2 Re 2.31
S: 0.0000 0.5000 0.0000  2 Re 2.31
S: 0.0000 0.0000 0.5000  2 Re 2.31
Ti: 0.5000 0.5000 0.5000  12 S 3.26

No. 2
Material: BaAuBr
Method: DFT, PBE-GGA
State: relaxed

Output
Total energy: -3.48 eV/atom
E above lowest polymorph: 207 meV per atom

Cell: 4.9238 4.9238 5.8431 Å, 90.00 90.00 120.00°
Last column: nearest neighbours and their distance in Å.
Element x y z (fractional)
Au: 0.0000 0.0000 0.0486  3 Ba 3.30
Br: 0.3333 0.6667 0.6159  3 Ba 3.28
Ba: 0.6667 0.3333 0.3356  3 Br 3.28, 3 Au 3.30

No. 3
Material: AcSb2Pb
Method: DFT, PBE-GGA
State: relaxed

Output
Total energy: -4.45 eV/atom
E above lowest polymorph: 127 meV per atom

Cell: 4.6865 4.6865 8.2247 Å, 73.45 73.45 60.00°
Last column: nearest neighbours and their distance in Å.
Element x y z (fractional)
Sb: 0.7484 0.7484 0.7549  3 Pb 3.31, 3 Ac 3.35
Sb: 0.2516 0.2516 0.2451  3 Pb 3.31, 3 Ac 3.35
Ac: 0.5000 0.5000 0.5000  6 Sb 3.35
Pb: 0.0000 0.0000 0.0000  6 Sb 3.31

No. 4
Material: TcSbPt2
Method: DFT, PBE-GGA
State: relaxed

Output
Total energy: -6.53 eV/atom

Cell: 5.5230 5.5230 5.5230 Å, 147.94 130.57 60.14°
Last column: nearest neighbours and their distance in Å.
Element x y z (fractional)
Tc: 0.2500 0.7500 0.5000  4 Sb 2.77, 4 Pt 2.89, 2 Tc 3.05
Pt: 0.9934 0.9934 0.0000  6 Pt 2.77-3.05, 2 Sb 2.78, 2 Tc 2.89
Pt: 0.5066 0.5066 0.0000  6 Pt 2.77-3.05, 2 Sb 2.78, 2 Tc 2.89
Sb: 0.7500 0.2500 0.5000  4 Tc 2.77, 4 Pt 2.78, 2 Sb 3.05

No. 5
Material: Pa2SnMo
Method: DFT, PBE-GGA
State: relaxed

Output
Total energy: -8.25 eV/atom
E above lowest polymorph: 270 meV per atom
Energy of formation from the pure elements: 205 meV/atom

Cell: 5.1047 5.1047 5.1047 Å, 60.00 60.00 60.00°
Last column: nearest neighbours and their distance in Å.
Element x y z (fractional)
Pa: 0.7500 0.7500 0.7500  4 Sn 3.13, 4 Mo 3.13
Pa: 0.2500 0.2500 0.2500  4 Sn 3.13, 4 Mo 3.13
Sn: 0.0000 0.0000 0.0000  8 Pa 3.13
Mo: 0.5000 0.5000 0.5000  8 Pa 3.13

Q: What is the total energy in the second record?
A: -3.48 eV/atom